# 1
First-principles (PBE-GGA) data for a geometry-optimized PmP structure, as listed in Alexandria via LeMat-Bulk.

Calculated values
DFT formation energy: -1.06 eV per atom
total magnetic moment: 0.000 μB/atom
ΔE to the lowest computed polymorph: 1.01 eV per formula unit
E_tot: -6.14 eV/atom
space-group type: No. 221

Unit cell a=3.560 b=3.560 c=3.560 alpha=90.00 beta=90.00 gamma=90.00
Atoms (fractional coordinates):
Pm 0.000 0.000 0.000
P 0.500 0.500 0.500

=====

# 2
First-principles (PBE-GGA) data for a geometry-optimized Tl2ZnCl structure, as listed in Alexandria via LeMat-Bulk.

Calculated values
formation energy from raw total energies: -14 kJ/mol of atoms
total magnetic moment: 0.000 μB/atom
ΔE to the lowest computed polymorph: 0.66 eV per formula unit
E_tot: -2.11 eV/atom
space-group type: No. 122

Unit cell a=10.550 b=10.550 c=10.550 alpha=151.66 beta=151.66 gamma=40.50
Atoms (fractional coordinates):
Tl 0.121 0.625 0.996
Tl 0.375 0.371 0.496
Tl 0.629 0.125 0.004
Tl 0.875 0.879 0.504
Zn 0.000 0.000 0.000
Zn 0.750 0.250 0.500
Cl 0.250 0.750 0.500
Cl 0.500 0.500 0.000

=====

# 3
First-principles (PBE-GGA) data for a geometry-optimized Cd2In2P structure, as listed in Alexandria via LeMat-Bulk.

Calculated values
DFT formation energy: 0.22 eV per atom
total magnetic moment: 0.000 μB/atom
ΔE to the lowest computed polymorph: 0.25 eV per formula unit
E_tot: -2.32 eV/atom
space-group type: No. 127

Unit cell a=7.103 b=7.103 c=5.067 alpha=90.00 beta=90.00 gamma=90.00
Atoms (fractional coordinates):
Cd 0.164 0.336 0.000
Cd 0.336 0.836 0.000
Cd 0.664 0.164 0.000
Cd 0.836 0.664 0.000
In 0.150 0.650 0.500
In 0.350 0.150 0.500
In 0.650 0.850 0.500
In 0.850 0.350 0.500
P 0.000 0.000 0.500
P 0.500 0.500 0.500